# ErZr2UP4 (PBE-GGA, relaxed)
# * DFT formation energy: -1352 meV per atom
# * energy: -8.1755 eV per atom
# * total moment: 1.7 μB per cell
data_ErZr2UP4
_chemical_formula_sum 'Er1 Zr2 U1 P4'
_space_group_name_H-M_alt 'P 1 2/m 1'
_space_group_IT_number 10
_cell_length_a 6.6416
_cell_length_b 3.8261
_cell_length_c 6.6435
_cell_angle_alpha 90.00
_cell_angle_beta 109.20
_cell_angle_gamma 90.00
loop_
_space_group_symop_operation_xyz
'x,y,z'
'-x,-y,-z'
'-x,y,-z'
'x,-y,z'
loop_
_atom_site_label
_atom_site_type_symbol
_atom_site_fract_x
_atom_site_fract_y
_atom_site_fract_z
Er1 Er 0.0000 0.0000 0.0000
Zr1 Zr 0.0000 0.5000 0.5000
Zr2 Zr 0.5000 0.0000 0.5000
U1 U 0.5000 0.5000 0.0000
P1 P 0.2482 0.0000 0.7408
P2 P 0.2558 0.5000 0.2590

---

# Hf3AlGa (PBE-GGA, relaxed)
# * DFT formation energy: -136 meV per atom
# * energy: -7.4619 eV per atom
# * total moment: 0.0 μB per cell
# * offset from the most stable computed form: 0 meV per atom
data_Hf3AlGa
_chemical_formula_sum 'Hf24 Al8 Ga8'
_space_group_name_H-M_alt 'C 1 2/c 1'
_space_group_IT_number 15
_cell_length_a 10.0173
_cell_length_b 6.1114
_cell_length_c 13.2199
_cell_angle_alpha 90.00
_cell_angle_beta 97.44
_cell_angle_gamma 90.00
loop_
_space_group_symop_operation_xyz
'x,y,z'
'-x,-y,-z'
'-x,y,-z+1/2'
'x,-y,z+1/2'
'x+1/2,y+1/2,z'
'-x+1/2,-y+1/2,-z'
'-x+1/2,y+1/2,-z+1/2'
'x+1/2,-y+1/2,z+1/2'
loop_
_atom_site_label
_atom_site_type_symbol
_atom_site_fract_x
_atom_site_fract_y
_atom_site_fract_z
Hf1 Hf 0.0466 0.1074 0.1126
Hf2 Hf 0.1816 0.1490 0.7935
Hf3 Hf 0.2033 0.3592 0.4035
Al1 Al 0.0499 0.3751 0.5855
Ga1 Ga 0.0000 0.4506 0.2500
Ga2 Ga 0.2500 0.2500 0.0000

---

# HfTaGaMo (PBE-GGA, relaxed)
# * DFT formation energy: -158 meV per atom
# * energy: -9.0738 eV per atom
# * total moment: 0.0 μB per cell
data_HfTaGaMo
_chemical_formula_sum 'Hf4 Ta4 Ga4 Mo4'
_space_group_name_H-M_alt 'F -4 3 m'
_space_group_IT_number 216
_space_group_name_Hall 'F -4 2 3'
_cell_length_a 6.5508
_cell_length_b 6.5508
_cell_length_c 6.5508
_cell_angle_alpha 90.00
_cell_angle_beta 90.00
_cell_angle_gamma 90.00
loop_
_atom_site_label
_atom_site_type_symbol
_atom_site_fract_x
_atom_site_fract_y
_atom_site_fract_z
Hf1 Hf 0.0000 0.0000 0.0000
Ta1 Ta 0.0000 0.0000 0.5000
Ga1 Ga 0.2500 0.2500 0.2500
Mo1 Mo 0.2500 0.2500 0.7500

---

# Pr2CoSi (PBE-GGA, relaxed)
# * energy: -5.9546 eV per atom
# * total moment: 0.0 μB per cell
# * energy relative to the elements, uncorrected: -0.43 eV/atom
data_Pr2CoSi
_chemical_formula_sum 'Pr6 Co3 Si3'
_space_group_name_H-M_alt 'R 3 m'
_space_group_IT_number 160
_space_group_name_Hall 'R 3 -2"'
_cell_length_a 4.0643
_cell_length_b 4.0643
_cell_length_c 22.4257
_cell_angle_alpha 90.00
_cell_angle_beta 90.00
_cell_angle_gamma 120.00
loop_
_atom_site_label
_atom_site_type_symbol
_atom_site_fract_x
_atom_site_fract_y
_atom_site_fract_z
Pr1 Pr 0.0000 0.0000 0.0000
Pr2 Pr 0.0000 0.0000 0.1687
Co1 Co 0.0000 0.0000 0.7513
Si1 Si 0.0000 0.0000 0.4169

---

# UCu6 (PBE-GGA, relaxed)
# * DFT formation energy: 730 meV per atom
# * energy: -4.3938 eV per atom
# * total moment: 6.4 μB per cell
data_UCu6
_chemical_formula_sum 'U2 Cu12'
_space_group_name_H-M_alt 'I m -3 m'
_space_group_IT_number 229
_space_group_name_Hall '-I 4 2 3'
_cell_length_a 6.4004
_cell_length_b 6.4004
_cell_length_c 6.4004
_cell_angle_alpha 90.00
_cell_angle_beta 90.00
_cell_angle_gamma 90.00
loop_
_atom_site_label
_atom_site_type_symbol
_atom_site_fract_x
_atom_site_fract_y
_atom_site_fract_z
U1 U 0.0000 0.0000 0.0000
Cu1 Cu 0.0000 0.2500 0.5000

---

# NdBiTe (PBE-GGA, relaxed)
# * energy: -4.3835 eV per atom
# * total moment: 0.0 μB per cell
# * energy relative to the elements, uncorrected: -0.45 eV/atom
data_NdBiTe
_chemical_formula_sum 'Nd4 Bi4 Te4'
_space_group_name_H-M_alt 'I m m m'
_space_group_IT_number 71
_space_group_name_Hall '-I 2 2'
_cell_length_a 3.7960
_cell_length_b 5.7015
_cell_length_c 18.7160
_cell_angle_alpha 90.00
_cell_angle_beta 90.00
_cell_angle_gamma 90.00
loop_
_atom_site_label
_atom_site_type_symbol
_atom_site_fract_x
_atom_site_fract_y
_atom_site_fract_z
Nd1 Nd 0.0000 0.0000 0.1539
Bi1 Bi 0.0000 0.0000 0.3333
Te1 Te 0.0000 0.2518 0.0000